# 1
Computed, not measured: crystalline LiPdAu at its relaxed geometry at the PBE-GGA level of DFT.

Computed properties:
energy above the lowest structure with this stoichiometry = 7 meV per atom
DOS(E_F) = 2.27 states/eV/cell
ΔH_f (0 K) = -0.425 eV per atom
total moment = 0.000 μB per atom
total energy = -3.887 eV per atom

a b c (Å): 3.973 3.902 6.333
angles (deg): 90.00 108.06 90.00
Space group P2/m (No. 10)
Unique sites:
Li 0.156 0.000 0.312 x2
Pd 0.000 0.500 0.000 x1
Pd 0.500 0.000 0.000 x1
Au 0.332 0.500 0.665 x2

# 2
Computed, not measured: crystalline Li7Pd4Au at its relaxed geometry at the PBE-GGA level of DFT.

Computed properties:
DOS(E_F) = 6.77 states/eV/cell
ΔH_f (0 K) = -0.258 eV per atom
total moment = 0.000 μB per atom
total energy = -3.378 eV per atom

a b c (Å): 9.172 4.621 9.333
angles (deg): 90.00 117.17 90.00
Space group C2/m (No. 12)
Unique sites:
Li 0.000 0.000 0.000 x2
Li 0.117 0.500 0.467 x4
Li 0.189 0.000 0.647 x4
Li 0.201 0.000 0.914 x4
Pd 0.097 0.000 0.304 x4
Pd 0.142 0.500 0.781 x4
Au 0.000 0.500 0.000 x2

# 3
Computed, not measured: crystalline Li4Pd3Au at its relaxed geometry at the PBE-GGA level of DFT.

Computed properties:
energy above the lowest structure with this stoichiometry = 0 meV per atom
DOS(E_F) = 2.27 states/eV/cell
ΔH_f (0 K) = -0.455 eV per atom
total moment = 0.000 μB per atom
total energy = -3.769 eV per atom

a b c (Å): 3.050 3.050 11.842
angles (deg): 90.00 90.00 90.00
Space group P4/mmm (No. 123)
Unique sites:
Li 0.000 0.000 0.122 x2
Li 0.000 0.000 0.368 x2
Pd 0.500 0.500 0.000 x1
Pd 0.500 0.500 0.246 x2
Au 0.500 0.500 0.500 x1